Material: Tb3RuBr3
Method: DFT, GGA-PBE
State: optimized geometry

symmetry	P2_1/m
DFT total energy	-5.2840	eV/atom

abc: 4.1187 8.5675 11.9503
angles: 91.48 90.00 90.00
Last column: nearest neighbours and their distance in Å.
Sites, in units of the cell vectors:
1 Tb 0.2500 0.2715 0.6026  2 Ru 2.77, 1 Br 3.06
2 Tb 0.7500 0.7285 0.3974  2 Ru 2.77, 1 Br 3.06
3 Tb 0.2500 0.8580 0.6346  3 Ru 2.71-2.87
4 Tb 0.7500 0.1420 0.3654  3 Ru 2.71-2.87
5 Tb 0.2500 0.8999 0.1744  1 Ru 2.76, 4 Br 2.91-3.01
6 Tb 0.7500 0.1001 0.8256  1 Ru 2.76, 4 Br 2.91-3.01
7 Ru 0.2500 0.9450 0.4040  6 Tb 2.71-2.87
8 Ru 0.7500 0.0550 0.5960  6 Tb 2.71-2.87
9 Br 0.2500 0.4333 0.3704  5 Tb 3.13-3.27
10 Br 0.7500 0.5667 0.6296  5 Tb 3.13-3.27
11 Br 0.2500 0.8687 0.8991  4 Tb 3.01-3.29
12 Br 0.7500 0.1313 0.1009  4 Tb 3.01-3.29
13 Br 0.2500 0.3380 0.8557  3 Tb 2.91-3.06
14 Br 0.7500 0.6620 0.1443  3 Tb 2.91-3.06

***

Material: TbRuBr
Method: DFT, GGA-PBE
State: optimized geometry

symmetry	R-3m
DFT total energy	-6.1624	eV/atom

abc: 4.1656 4.1656 11.6338
angles: 79.69 79.69 60.00
Last column: nearest neighbours and their distance in Å.
Sites, in units of the cell vectors:
1 Tb 0.4419 0.4419 0.6743  3 Br 3.02, 6 Ru 3.06-3.18
2 Tb 0.5581 0.5581 0.3257  3 Br 3.02, 6 Ru 3.06-3.18
3 Ru 0.1640 0.1640 0.5079  3 Ru 2.41
4 Ru 0.8360 0.8360 0.4921  3 Ru 2.41
5 Br 0.7217 0.7217 0.8349  3 Tb 3.02
6 Br 0.2783 0.2783 0.1651  3 Tb 3.02

***

Material: TbThRuBr
Method: DFT, GGA-PBE
State: optimized geometry

symmetry	R3m
DFT total energy	-6.5960	eV/atom

abc: 4.0557 4.0558 8.2592
angles: 90.01 104.21 120.00
Last column: nearest neighbours and their distance in Å.
Sites, in units of the cell vectors:
1 Tb 0.5066 0.1511 0.6732  3 Ru 2.83
2 Th 0.0905 0.9432 0.0490  3 Ru 2.72
3 Ru 0.3073 0.5515 0.8741  3 Th 2.72, 3 Tb 2.83
4 Br 0.9734 0.3851 0.3734  3 Tb 3.33-3.34, 3 Th 3.48

***

Material: TcRuBr2
Method: DFT, GGA-PBE
State: optimized geometry

distance to the lowest polymorph of the same formula	910	meV/atom
symmetry	Immm
DFT total energy	-4.6962	eV/atom

abc: 5.4126 5.4126 5.4126
angles: 147.67 117.04 72.57
Last column: nearest neighbours and their distance in Å.
Sites, in units of the cell vectors:
1 Ru 0.7500 0.2500 0.5000  4 Br 2.66
2 Tc 0.2500 0.7500 0.5000  4 Br 2.64
3 Br 0.0011 0.0011 0.0000  2 Tc 2.64, 2 Ru 2.66
4 Br 0.4989 0.4989 0.0000  2 Tc 2.64, 2 Ru 2.66